Computed, not measured: a geometry-optimized SrHgAs2Se structure at the PBE-GGA level of DFT.

a b c (Å): 5.190 5.190 5.498
angles (deg): 90.00 90.00 90.00
Space group P4/mmm (No. 123)
Unique sites:
Sr1 0.000 0.000 0.000
Hg1 0.500 0.500 0.500
As1 0.000 0.500 0.500
Se1 0.500 0.500 0.000

As for the final energy: -2.903 eV/atom. The crystal system is tetragonal. Its formation energy (no corrections) is 50 meV per atom. As for the magnetization: 0.00 μB per formula unit.


Computed, not measured: a geometry-optimized SrHgAs2Se structure at the PBE-GGA level of DFT.

a b c (Å): 5.873 5.873 5.716
angles (deg): 90.00 90.00 90.00
Space group P4/mmm (No. 123)
Unique sites:
Sr1 0.000 0.000 0.000
Hg1 0.500 0.500 0.500
As1 0.000 0.500 0.000
Se1 0.000 0.000 0.500

As for the final energy: -2.307 eV/atom. The crystal system is tetragonal. Its formation energy (no corrections) is 647 meV per atom. As for the magnetization: 0.97 μB per formula unit.


Computed, not measured: a geometry-optimized TaHgAs2Se structure at the PBE-GGA level of DFT.

a b c (Å): 5.083 5.083 4.980
angles (deg): 90.00 90.00 90.00
Space group P4/mmm (No. 123)
Unique sites:
Ta1 0.000 0.000 0.000
Hg1 0.500 0.500 0.500
As1 0.000 0.500 0.000
Se1 0.000 0.000 0.500

As for the final energy: -4.840 eV/atom. The crystal system is tetragonal. Its formation energy (no corrections) is 147 meV per atom. As for the magnetization: 0.00 μB per formula unit.


Computed, not measured: a geometry-optimized TaHgAs2Se structure at the PBE-GGA level of DFT.

a b c (Å): 5.024 5.024 5.051
angles (deg): 90.00 90.00 90.00
Space group P4/mmm (No. 123)
Unique sites:
Ta1 0.000 0.000 0.000
Hg1 0.500 0.500 0.500
As1 0.000 0.500 0.500
Se1 0.500 0.500 0.000

As for the final energy: -3.432 eV/atom. The crystal system is tetragonal. Its formation energy (no corrections) is 1556 meV per atom. As for the magnetization: 0.00 μB per formula unit.


Computed, not measured: a geometry-optimized TaHgAsSe2 structure at the PBE-GGA level of DFT.

a b c (Å): 5.002 5.002 5.189
angles (deg): 90.00 90.00 90.00
Space group P4/mmm (No. 123)
Unique sites:
Ta1 0.000 0.000 0.000
Hg1 0.500 0.500 0.500
As1 0.000 0.000 0.500
Se1 0.000 0.500 0.000

As for the final energy: -4.764 eV/atom. The crystal system is tetragonal. Its formation energy (no corrections) is -9 meV per atom. As for the magnetization: 0.00 μB per formula unit.


Computed, not measured: a geometry-optimized TaHgAsSe2 structure at the PBE-GGA level of DFT.

a b c (Å): 5.052 5.052 5.075
angles (deg): 90.00 90.00 90.00
Space group P4/mmm (No. 123)
Unique sites:
Ta1 0.000 0.000 0.000
Hg1 0.500 0.500 0.500
As1 0.500 0.500 0.000
Se1 0.000 0.500 0.500

As for the final energy: -3.290 eV/atom. The crystal system is tetragonal. Its formation energy (no corrections) is 1465 meV per atom. As for the magnetization: 0.01 μB per formula unit.


Computed, not measured: a geometry-optimized Tb4HgAsSe2 structure at the PBE-GGA level of DFT.

a b c (Å): 7.246 4.097 7.286
angles (deg): 90.00 108.74 90.00
Space group P2/m (No. 10)
Unique sites:
Tb1 0.240 0.000 0.246
Tb2 0.241 0.500 0.744
Hg1 0.500 0.000 0.000
As1 0.000 0.500 0.000
Se1 0.000 0.000 0.500
Se2 0.500 0.500 0.500

As for the final energy: -5.173 eV/atom. The crystal system is monoclinic. Its formation energy (no corrections) is -1368 meV per atom. As for the magnetization: 0.00 μB per formula unit.


Computed, not measured: a geometry-optimized Tb4HgAs2Se structure at the PBE-GGA level of DFT.

a b c (Å): 7.175 4.111 7.347
angles (deg): 90.00 108.42 90.00
Space group P2/m (No. 10)
Unique sites:
Tb1 0.234 0.000 0.234
Tb2 0.236 0.500 0.751
Hg1 0.500 0.500 0.500
As1 0.000 0.000 0.500
As2 0.000 0.500 0.000
Se1 0.500 0.000 0.000

As for the final energy: -5.259 eV/atom. The crystal system is monoclinic. Its formation energy (no corrections) is -1308 meV per atom. As for the magnetization: 0.00 μB per formula unit.


Computed, not measured: a geometry-optimized HgTeAsSe2 structure at the PBE-GGA level of DFT.

a b c (Å): 5.394 5.394 5.503
angles (deg): 90.00 90.00 90.00
Space group P4/mmm (No. 123)
Unique sites:
Hg1 0.000 0.000 0.000
Te1 0.500 0.500 0.500
As1 0.500 0.500 0.000
Se1 0.000 0.500 0.500

As for the final energy: -2.388 eV/atom. The crystal system is tetragonal. Its formation energy (no corrections) is 625 meV per atom. As for the magnetization: 1.14 μB per formula unit.


Computed, not measured: a geometry-optimized Hg2Te2AsSe structure at the PBE-GGA level of DFT.

a b c (Å): 12.927 7.607 8.346
angles (deg): 90.00 90.00 90.00
Space group Cmc2_1 (No. 36)
Unique sites:
Hg1 0.156 0.240 0.000
Te1 0.155 0.121 0.336
As1 0.000 0.277 0.496
Se1 0.000 0.443 0.857

As for the final energy: -2.508 eV/atom. The crystal system is orthorhombic. Its formation energy (no corrections) is -4 meV per atom. As for the magnetization: 0.00 μB per formula unit.


Computed, not measured: a geometry-optimized Th4HgAsSe2 structure at the PBE-GGA level of DFT.

a b c (Å): 7.337 4.297 7.519
angles (deg): 90.00 109.61 90.00
Space group P2/m (No. 10)
Unique sites:
Th1 0.243 0.000 0.239
Th2 0.251 0.500 0.759
Hg1 0.500 0.500 0.500
As1 0.500 0.000 0.000
Se1 0.000 0.000 0.500
Se2 0.000 0.500 0.000

As for the final energy: -6.325 eV/atom. The crystal system is monoclinic. Its formation energy (no corrections) is -1125 meV per atom. As for the magnetization: 0.00 μB per formula unit.


Computed, not measured: a geometry-optimized Th6HgAs3Se2 structure at the PBE-GGA level of DFT.

a b c (Å): 18.677 4.226 8.648
angles (deg): 90.00 103.68 90.00
Space group C2/m (No. 12)
Unique sites:
Th1 0.000 0.000 0.238
Th2 0.164 0.500 0.086
Th3 0.171 0.500 0.579
Hg1 0.000 0.500 0.500
As1 0.000 0.500 0.000
As2 0.165 0.000 0.331
Se1 0.168 0.000 0.833

As for the final energy: -6.701 eV/atom. The crystal system is monoclinic. Its formation energy (no corrections) is -1223 meV per atom. As for the magnetization: 0.00 μB per formula unit.


Computed, not measured: a geometry-optimized Th6HgAs2Se3 structure at the PBE-GGA level of DFT.

a b c (Å): 18.515 4.267 8.537
angles (deg): 90.00 101.82 90.00
Space group C2/m (No. 12)
Unique sites:
Th1 0.004 0.000 0.261
Th2 0.167 0.500 0.579
Th3 0.171 0.500 0.089
Hg1 0.000 0.500 0.000
As1 0.169 0.000 0.334
Se1 0.000 0.500 0.500
Se2 0.163 0.000 0.832

As for the final energy: -6.625 eV/atom. The crystal system is monoclinic. Its formation energy (no corrections) is -1244 meV per atom. As for the magnetization: 0.00 μB per formula unit.


Computed, not measured: a geometry-optimized TiHgAsSe2 structure at the PBE-GGA level of DFT.

a b c (Å): 4.916 4.916 5.105
angles (deg): 90.00 90.00 90.00
Space group P4/mmm (No. 123)
Unique sites:
Ti1 0.000 0.000 0.000
Hg1 0.500 0.500 0.500
As1 0.000 0.000 0.500
Se1 0.000 0.500 0.000

As for the final energy: -4.117 eV/atom. The crystal system is tetragonal. Its formation energy (no corrections) is -154 meV per atom. As for the magnetization: 0.00 μB per formula unit.


Computed, not measured: a geometry-optimized TlHgAsSe3 structure at the PBE-GGA level of DFT.

a b c (Å): 8.993 4.104 10.127
angles (deg): 90.00 99.46 90.00
Space group P2_1/m (No. 11)
Unique sites:
Tl1 0.161 0.250 0.220
Hg1 0.120 0.250 0.611
As1 0.355 0.750 0.889
Se1 0.157 0.250 0.879
Se2 0.208 0.750 0.471
Se3 0.425 0.750 0.129

As for the final energy: -3.154 eV/atom. The crystal system is monoclinic. Its formation energy (no corrections) is -192 meV per atom. As for the magnetization: 0.00 μB per formula unit.


Computed, not measured: a geometry-optimized TlHgAs2Se structure at the PBE-GGA level of DFT.

a b c (Å): 5.257 5.257 5.532
angles (deg): 90.00 90.00 90.00
Space group P4/mmm (No. 123)
Unique sites:
Tl1 0.000 0.000 0.000
Hg1 0.500 0.500 0.500
As1 0.000 0.500 0.500
Se1 0.500 0.500 0.000

As for the final energy: -2.432 eV/atom. The crystal system is tetragonal. Its formation energy (no corrections) is 658 meV per atom. As for the magnetization: 1.11 μB per formula unit.


Computed, not measured: a geometry-optimized Tm6HgAs2Se3 structure at the PBE-GGA level of DFT.

a b c (Å): 17.854 4.019 8.281
angles (deg): 90.00 103.32 90.00
Space group C2/m (No. 12)
Unique sites:
Tm1 0.002 0.000 0.256
Tm2 0.167 0.500 0.092
Tm3 0.171 0.500 0.576
Hg1 0.000 0.500 0.000
As1 0.167 0.000 0.336
Se1 0.000 0.500 0.500
Se2 0.169 0.000 0.831

As for the final energy: -5.327 eV/atom. The crystal system is monoclinic. Its formation energy (no corrections) is -1420 meV per atom. As for the magnetization: 0.00 μB per formula unit.


Computed, not measured: a geometry-optimized HgAs2WSe structure at the PBE-GGA level of DFT.

a b c (Å): 4.997 4.997 4.876
angles (deg): 90.00 90.00 90.00
Space group P4/mmm (No. 123)
Unique sites:
Hg1 0.000 0.000 0.000
As1 0.000 0.500 0.500
W1 0.500 0.500 0.500
Se1 0.500 0.500 0.000

As for the final energy: -4.825 eV/atom. The crystal system is tetragonal. Its formation energy (no corrections) is 383 meV per atom. As for the magnetization: 0.00 μB per formula unit.


Computed, not measured: a geometry-optimized YHgAs2Se structure at the PBE-GGA level of DFT.

a b c (Å): 5.112 5.112 5.240
angles (deg): 90.00 90.00 90.00
Space group P4/mmm (No. 123)
Unique sites:
Y1 0.000 0.000 0.000
Hg1 0.500 0.500 0.500
As1 0.000 0.500 0.500
Se1 0.500 0.500 0.000

As for the final energy: -3.637 eV/atom. The crystal system is tetragonal. Its formation energy (no corrections) is 273 meV per atom. As for the magnetization: 0.00 μB per formula unit.


Computed, not measured: a geometry-optimized Y4HgAsSe2 structure at the PBE-GGA level of DFT.

a b c (Å): 7.223 4.085 7.282
angles (deg): 90.00 108.72 90.00
Space group P2/m (No. 10)
Unique sites:
Y1 0.240 0.000 0.245
Y2 0.241 0.500 0.745
Hg1 0.500 0.000 0.000
As1 0.000 0.500 0.000
Se1 0.000 0.000 0.500
Se2 0.500 0.500 0.500

As for the final energy: -6.097 eV/atom. The crystal system is monoclinic. Its formation energy (no corrections) is -1375 meV per atom. As for the magnetization: 0.00 μB per formula unit.